The following is a DFT calculation (PBE) of crystalline Ba2AsPb at its relaxed geometry.

Properties
Magnetization, μB per atom: 0.001
E_form, eV per atom: -0.41
Mass density, g cm⁻³: 5.46
Raw total energy, eV/cell: -13.84
Energy relative to the lowest polymorph listed for this composition, eV/atom: 0.291

Cell lengths 4.9463, 4.9463, 6.9206 Å; angles 90.00, 90.00, 90.00 degrees
Closest atoms and distances in Å follow each position.
Element x y z (fractional)
Ba (0.0000, 0.0000, 0.0000)  2 Pb 3.46, 4 As 3.50
Ba (0.5000, 0.5000, 0.4983)  2 As 3.46, 4 Pb 3.50
As (0.5000, 0.5000, 0.9982)  6 Ba 3.46-3.50
Pb (0.0000, 0.0000, 0.5005)  6 Ba 3.46-3.50